(1)
# MnCdSi (GGA-PBE, relaxed)
# ΔE_f (raw) = 29 meV/atom
data_MnCdSi
_symmetry_space_group_name_H-M 'P 1 21/m 1'
_symmetry_Int_Tables_number 11
_cell_length_a 4.7767
_cell_length_b 3.8250
_cell_length_c 5.5816
_cell_angle_alpha 90.00
_cell_angle_beta 105.66
_cell_angle_gamma 90.00
loop_
_symmetry_equiv_pos_as_xyz
'x,y,z'
'-x,-y,-z'
'-x,y+1/2,-z'
'x,-y+1/2,z'
loop_
_atom_site_label
_atom_site_type_symbol
_atom_site_fract_x
_atom_site_fract_y
_atom_site_fract_z
Mn1 Mn 0.1036 0.2500 0.4167
Cd1 Cd 0.2071 0.2500 0.9372
Si1 Si 0.4015 0.7500 0.5985

---

(2)
# ZnF (GGA-PBE, relaxed)
# ΔE_f (raw) = -1603 meV/atom
data_ZnF
_symmetry_space_group_name_H-M 'P 1 21/m 1'
_symmetry_Int_Tables_number 11
_cell_length_a 4.2040
_cell_length_b 3.0242
_cell_length_c 4.8527
_cell_angle_alpha 90.00
_cell_angle_beta 115.50
_cell_angle_gamma 90.00
loop_
_symmetry_equiv_pos_as_xyz
'x,y,z'
'-x,-y,-z'
'-x,y+1/2,-z'
'x,-y+1/2,z'
loop_
_atom_site_label
_atom_site_type_symbol
_atom_site_fract_x
_atom_site_fract_y
_atom_site_fract_z
Zn1 Zn 0.1156 0.2500 0.2303
F1 F 0.2943 0.7500 0.5885

---

(3)
# CePmTh (GGA-PBE, relaxed)
# energy of formation from the pure elements = 0.08 eV per atom
data_CePmTh
_symmetry_space_group_name_H-M 'C m c m'
_symmetry_Int_Tables_number 63
_symmetry_space_group_name_Hall '-C 2c 2'
_cell_length_a 5.0340
_cell_length_b 15.1113
_cell_length_c 5.0345
_cell_angle_alpha 90.00
_cell_angle_beta 90.00
_cell_angle_gamma 90.00
loop_
_atom_site_label
_atom_site_type_symbol
_atom_site_fract_x
_atom_site_fract_y
_atom_site_fract_z
Ce1 Ce 0.0000 0.0902 0.2500
Pm1 Pm 0.0000 0.4138 0.2500
Th1 Th 0.0000 0.2507 0.7500

---

(4)
# AlC2 (GGA-PBE, relaxed)
# energy of formation from the pure elements = 1.85 eV per atom
data_AlC2
_symmetry_space_group_name_H-M 'F m -3 m'
_symmetry_Int_Tables_number 225
_symmetry_space_group_name_Hall '-F 4 2 3'
_cell_length_a 4.8961
_cell_length_b 4.8961
_cell_length_c 4.8961
_cell_angle_alpha 90.00
_cell_angle_beta 90.00
_cell_angle_gamma 90.00
loop_
_atom_site_label
_atom_site_type_symbol
_atom_site_fract_x
_atom_site_fract_y
_atom_site_fract_z
Al1 Al 0.0000 0.0000 0.0000
C1 C 0.2500 0.2500 0.2500

---

Respective DOS(E_F) values: 3.69 0.73 27.42 4.65 states/eV/cell.